Record 1
DFT (PBE) results for a geometry-optimized YRuO2F structure.

Summary:
VASP energy ... -34.88 eV for the cell shown
Energy relative to the elements, uncorrected ... -142.0 kJ per mole of atoms
D(E_F) ... 0.85 states/eV per atom
Size of the total moment ... 0.06 Bohr magnetons per cell

abc: 4.038 4.038 3.998
angles: 90.00 90.00 90.00
Sites, in units of the cell vectors:
Y  0.000  0.000  0.000
Ru  0.500  0.500  0.500
O  0.000  0.500  0.500
O  0.500  0.000  0.500
F  0.500  0.500  0.000

Record 2
DFT (PBE) results for a geometry-optimized ZnRuOF2 structure.

Summary:
Relative energy among the computed polymorphs ... 0.940 eV per formula unit
VASP energy ... -22.49 eV for the cell shown
Energy relative to the elements, uncorrected ... -62.5 kJ per mole of atoms
D(E_F) ... 0.56 states/eV per atom
Size of the total moment ... 4.00 Bohr magnetons per cell

abc: 3.962 3.962 4.051
angles: 90.00 90.00 90.00
Sites, in units of the cell vectors:
Zn  0.000  0.000  0.000
Ru  0.500  0.500  0.500
O  0.000  0.000  0.500
F  0.000  0.500  0.000
F  0.500  0.000  0.000

Record 3
DFT (PBE) results for a geometry-optimized ZnRuOF2 structure.

Summary:
Relative energy among the computed polymorphs ... 0.000 eV per formula unit
VASP energy ... -23.43 eV for the cell shown
Energy relative to the elements, uncorrected ... -80.7 kJ per mole of atoms
D(E_F) ... 0.87 states/eV per atom
Size of the total moment ... 0.50 Bohr magnetons per cell

abc: 4.341 4.341 3.699
angles: 90.00 90.00 90.00
Sites, in units of the cell vectors:
Zn  0.000  0.000  0.000
Ru  0.500  0.500  0.500
O  0.500  0.500  0.000
F  0.000  0.500  0.500
F  0.500  0.000  0.500

Record 4
DFT (PBE) results for a geometry-optimized ZnRuO2F structure.

Summary:
VASP energy ... -23.51 eV for the cell shown
Energy relative to the elements, uncorrected ... -22.6 kJ per mole of atoms
D(E_F) ... 0.48 states/eV per atom
Size of the total moment ... 4.61 Bohr magnetons per cell

abc: 3.900 3.900 3.939
angles: 90.00 90.00 90.00
Sites, in units of the cell vectors:
Zn  0.000  0.000  0.000
Ru  0.500  0.500  0.500
O  0.000  0.500  0.000
O  0.500  0.000  0.000
F  0.000  0.000  0.500

Record 5
DFT (PBE) results for a geometry-optimized ZnRuO2F structure.

Summary:
VASP energy ... -25.70 eV for the cell shown
Energy relative to the elements, uncorrected ... -64.8 kJ per mole of atoms
D(E_F) ... 0.63 states/eV per atom
Size of the total moment ... 1.04 Bohr magnetons per cell

abc: 3.857 3.857 4.260
angles: 90.00 90.00 90.00
Sites, in units of the cell vectors:
Zn  0.000  0.000  0.000
Ru  0.500  0.500  0.500
O  0.000  0.500  0.500
O  0.500  0.000  0.500
F  0.500  0.500  0.000

Record 6
DFT (PBE) results for a geometry-optimized ZrRuOF2 structure.

Summary:
Relative energy among the computed polymorphs ... 3.819 eV per formula unit
VASP energy ... -30.17 eV for the cell shown
Energy relative to the elements, uncorrected ... -70.3 kJ per mole of atoms
D(E_F) ... 1.23 states/eV per atom
Size of the total moment ... 0.00 Bohr magnetons per cell

abc: 4.406 4.406 3.707
angles: 90.00 90.00 90.00
Sites, in units of the cell vectors:
Zr  0.000  0.000  0.000
Ru  0.500  0.500  0.500
O  0.500  0.500  0.000
F  0.000  0.500  0.500
F  0.500  0.000  0.500